No. 1
First-principles (GGA-PBE) data for a relaxed structure of ScMnTlSe4, as listed in the Alexandria database.

The calculation puts the total moment at 6.0 μB per cell. The calculation puts the total DFT energy (no corrections) at -5.286 eV/atom.

The space group is P2_1/m (No. 11) and the conventional cell measures 6.5588, 6.5401 and 8.9987 Å, with angles of 90.00, 108.78 and 90.00 degrees. Symmetry generates all atoms from Sc at (0.2350, 0.2500, 0.0532), Mn at (0.2314, 0.7500, 0.8316), Tl at (0.2567, 0.2500, 0.5552), Se at (0.0213, 0.5086, 0.2022), Se at (0.4378, 0.7500, 0.6655) and Se at (0.4511, 0.7500, 0.0875).

---

No. 2
First-principles (GGA-PBE) data for a relaxed structure of Rb2BaBIr, as listed in the Alexandria database.

The calculation puts the total moment at 0.0 μB per cell. The formation energy is 0.727 eV per atom. The calculation puts the total DFT energy (no corrections) at -3.152 eV/atom.

The space group is P4/mmm (No. 123) and the conventional cell measures 6.6277, 6.6277 and 4.1333 Å, with angles of 90.00, 90.00 and 90.00 degrees. Symmetry generates all atoms from Rb at (0.0000, 0.5000, 0.0000), Ba at (0.0000, 0.0000, 0.5000), B at (0.5000, 0.5000, 0.5000) and Ir at (0.5000, 0.5000, 0.0000).

---

No. 3
First-principles (GGA-PBE) data for a relaxed structure of Ba4Pa3GaN8, as listed in the Alexandria database.

The calculation puts the total moment at 0.0 μB per cell. The calculation puts the total DFT energy (no corrections) at -7.555 eV/atom.

The space group is C2/m (No. 12) and the conventional cell measures 12.5416, 7.2306 and 7.6397 Å, with angles of 90.00, 123.11 and 90.00 degrees. Symmetry generates all atoms from Ba at (0.0000, 0.0000, 0.0000), Ba at (0.0000, 0.5000, 0.0000), Ba at (0.2500, 0.2500, 0.0000), Pa at (0.0000, 0.0000, 0.5000), Pa at (0.2500, 0.2500, 0.5000), Ga at (0.0000, 0.5000, 0.5000), N at (0.0286, 0.2335, 0.3192), N at (0.2256, 0.0000, 0.6771) and N at (0.2387, 0.5000, 0.6810).

---

No. 4
First-principles (GGA-PBE) data for a relaxed structure of Tb2Ce3ScSe6, as listed in the Alexandria database.

The calculation puts the total moment at 6.0 μB per cell. The calculation puts the total DFT energy (no corrections) at -6.293 eV/atom.

The space group is C2/m (No. 12) and the conventional cell measures 7.0766, 12.2699 and 7.2078 Å, with angles of 90.00, 109.18 and 90.00 degrees. Symmetry generates all atoms from Tb at (0.0000, 0.1659, 0.0000), Ce at (0.0000, 0.0000, 0.5000), Ce at (0.0000, 0.3291, 0.5000), Sc at (0.0000, 0.5000, 0.0000), Se at (0.2390, 0.3382, 0.2328) and Se at (0.2440, 0.5000, 0.7624).

---

No. 5
First-principles (GGA-PBE) data for a relaxed structure of BaNaHfO4, as listed in the Alexandria database.

The calculation puts the total moment at 2.1 μB per cell. The calculation puts the total DFT energy (no corrections) at -7.264 eV/atom.

The space group is I4mm (No. 107) and the conventional cell measures 4.1540, 4.1540 and 13.2812 Å, with angles of 90.00, 90.00 and 90.00 degrees. Symmetry generates all atoms from Ba at (0.0000, 0.0000, 0.0000), Na at (0.0000, 0.0000, 0.2973), Hf at (0.0000, 0.0000, 0.6582), O at (0.0000, 0.0000, 0.4934), O at (0.0000, 0.0000, 0.8080) and O at (0.0000, 0.5000, 0.1476).

---

No. 6
First-principles (GGA-PBE) data for a relaxed structure of Ca2Zn2Ru, as listed in the Alexandria database.

The calculation puts the total moment at 0.0 μB per cell. The formation energy is 0.005 eV per atom. The calculation puts the total DFT energy (no corrections) at -3.160 eV/atom.

The space group is P4/mbm (No. 127) and the conventional cell measures 6.7936, 6.7936 and 4.6848 Å, with angles of 90.00, 90.00 and 90.00 degrees. Symmetry generates all atoms from Ca at (0.1842, 0.3158, 0.0000), Zn at (0.1379, 0.6379, 0.5000) and Ru at (0.0000, 0.0000, 0.5000).

---

Q: Which formula does entry 2 have?
A: Rb2BaBIr

---

Q: Number 6 is which compound?
A: Ca2Zn2Ru

---

Q: Which value of total moment does entry 5 give?
A: 2.1 μB per cell

---

Q: Which formula does entry 4 have?
A: Tb2Ce3ScSe6